[1]
The following is a DFT calculation (PBE) of a relaxed structure of KCdNi2.

Values from the calculation:
formation energy: 705 meV per atom

abc: 2.910 5.000 5.000
angles: 90.00 90.00 90.00
Each line ends with the local moment (μB).
Sites, in units of the cell vectors:
Ni 0.000 0.500 0.500  0.07
Ni 0.000 0.000 0.000  0.07
Cd 0.500 0.500 0.000  0.00
K 0.500 0.000 0.500  0.00

[2]
The following is a DFT calculation (PBE) of a relaxed structure of KCdNi2.

Values from the calculation:
formation energy: 503 meV per atom

abc: 3.353 3.353 7.363
angles: 90.00 90.00 90.01
Each line ends with the local moment (μB).
Sites, in units of the cell vectors:
K 0.500 0.500 0.750  0.00
Ni 0.000 0.000 0.417  0.12
Ni 0.000 0.000 0.083  0.12
Cd 0.500 0.500 0.250  -0.01

[3]
The following is a DFT calculation (PBE) of a relaxed structure of K4CdNi.

Values from the calculation:
formation energy: 671 meV per atom

abc: 7.379 7.379 7.379
angles: 60.00 60.00 60.00
Each line ends with the local moment (μB).
Sites, in units of the cell vectors:
K 0.376 0.873 0.376  0.00
K 0.873 0.376 0.376  0.00
K 0.376 0.376 0.376  0.00
K 0.376 0.376 0.873  0.00
Cd 0.000 0.000 0.000  -0.01
Ni 0.750 0.750 0.750  0.74

[4]
The following is a DFT calculation (PBE) of a relaxed structure of K2CdNi.

Values from the calculation:
formation energy: 256 meV per atom

abc: 3.692 3.687 10.015
angles: 90.00 90.00 90.00
Sites, in units of the cell vectors:
K 0.500 0.500 0.329
K 0.000 0.000 0.918
Cd 0.500 0.500 0.651
Ni 0.000 0.000 0.602

Number 1: energy -10.8 eV/cell. Number 2: energy -11.6 eV/cell. Number 3: energy -7.1 eV/cell. Number 4: energy -7.9 eV/cell.